(1)
Tb6NdEr3Tm2 after structural relaxation, computed with PBE-GGA.

The structure belongs to space group C2/m (No. 12); the cell edges are 6.139, 10.623 and 11.742 Å and the angles 90.00°, 99.98° and 90.00°. The inequivalent atoms are Tb at (0.248, 0.167, 0.249), Tb at (0.250, 0.000, 0.751), Nd at (0.000, 0.500, 0.500), Er at (0.000, 0.000, 0.000), Er at (0.000, 0.333, 0.000) and Tm at (0.000, 0.167, 0.500).

The value obtained for the total energy is -4.58 eV/atom. Its energy of formation is 0.018 eV per atom. The size of the total moment is 0.00 μB per cell.


(2)
La2ErSn3Pt4 after structural relaxation, computed with PBE-GGA.

The structure belongs to space group P-4m2 (No. 115); the cell edges are 4.657, 4.657 and 11.007 Å and the angles 90.00°, 90.00° and 90.00°. The inequivalent atoms are La at (0.000, 0.500, 0.224), Er at (0.000, 0.000, 0.500), Sn at (0.000, 0.500, 0.876), Sn at (0.500, 0.500, 0.500), Pt at (0.000, 0.000, 0.000), Pt at (0.000, 0.500, 0.639) and Pt at (0.500, 0.500, 0.000).

The value obtained for the total energy is -6.03 eV/atom. Its energy of formation is -0.970 eV per atom. The size of the total moment is 0.00 μB per cell.


(3)
Sc6Ga2NO after structural relaxation, computed with PBE-GGA.

The structure belongs to space group Fm-3m (No. 225); the cell edges are 8.755, 8.755 and 8.755 Å and the angles 90.00°, 90.00° and 90.00°. The inequivalent atoms are Sc at (0.000, 0.000, 0.248), Ga at (0.250, 0.250, 0.250), N at (0.000, 0.000, 0.000) and O at (0.000, 0.000, 0.500).

The value obtained for the total energy is -7.09 eV/atom. For the uncorrected formation energy, the calculation gives -1354 meV per atom. The size of the total moment is 0.00 μB per cell.